Compound: LaTbAl4Ni2
Source: the Open Quantum Materials Database
Functional: PBE
Structure: optimized geometry

Cell lengths 6.9692, 5.6927, 5.6927 Å; angles 41.94, 90.00, 90.00 degrees
Fractional positions:
Al (0.3105, 0.1662, 0.1662)
Al (0.6895, 0.1662, 0.1662)
Al (0.1987, 0.8355, 0.8355)
Al (0.8013, 0.8355, 0.8355)
La (0.0000, 0.5556, 0.5556)
Ni (0.0000, 0.2802, 0.2802)
Ni (0.5000, 0.7166, 0.7166)
Tb (0.5000, 0.4441, 0.4441)

Results
**Electronic total energy**: -40.436 eV per cell
**Spin magnetization**: 0.0 μB per cell
**SG**: No. 38

---

Compound: LaYAl4Ni2
Source: the Open Quantum Materials Database
Functional: PBE
Structure: optimized geometry

Cell lengths 6.9591, 5.6869, 5.6869 Å; angles 41.77, 90.00, 90.00 degrees
Fractional positions:
Al (0.3108, 0.1665, 0.1665)
Al (0.6892, 0.1665, 0.1665)
Al (0.1987, 0.8353, 0.8353)
Al (0.8013, 0.8353, 0.8353)
La (0.0000, 0.5555, 0.5555)
Ni (0.0000, 0.2797, 0.2797)
Ni (0.5000, 0.7172, 0.7172)
Y (0.5000, 0.4440, 0.4440)

Results
**Electronic total energy**: -42.310 eV per cell
**Spin magnetization**: 0.0 μB per cell
**SG**: No. 38

---

Compound: La2AlOs2
Source: the Open Quantum Materials Database
Functional: PBE
Structure: optimized geometry

Cell lengths 5.7973, 5.7973, 8.0407 Å; angles 103.16, 103.16, 60.57 degrees
Fractional positions:
Al (0.9033, 0.0967, 0.2500)
Al (0.0967, 0.9033, 0.7500)
La (0.5009, 0.7914, 0.1450)
La (0.2086, 0.4991, 0.3550)
La (0.7914, 0.5009, 0.6450)
La (0.4991, 0.2086, 0.8550)
Os (0.9865, 0.2932, 0.0166)
Os (0.7068, 0.0135, 0.4834)
Os (0.2932, 0.9865, 0.5166)
Os (0.0135, 0.7068, 0.9834)

Results
**Electronic total energy**: -74.906 eV per cell
**Spin magnetization**: 0.0 μB per cell
**SG**: No. 15

---

Compound: La2Al3Os2
Source: the Open Quantum Materials Database
Functional: PBE
Structure: optimized geometry

Cell lengths 5.6999, 5.6999, 7.4979 Å; angles 114.92, 114.92, 42.50 degrees
Fractional positions:
Al (0.3498, 0.3498, 0.0643)
Al (0.5000, 0.5000, 0.5000)
Al (0.6502, 0.6502, 0.9357)
La (0.1413, 0.1413, 0.2603)
La (0.8587, 0.8587, 0.7397)
Os (0.8746, 0.8746, 0.2936)
Os (0.1254, 0.1254, 0.7064)

Results
**Electronic total energy**: -46.624 eV per cell
**Spin magnetization**: 0.0 μB per cell
**SG**: No. 12

---

> Which value of electronic total energy does entry 1 give?

-40.436 eV per cell